Compound: YHgSO
Source: the Open Quantum Materials Database
Functional: PBE
Structure: optimized geometry

Lattice parameters (Å, degrees): 5.6322 5.6337 12.8742 90.00 91.52 90.00
Closest atoms and distances in Å follow each position.
Fractional positions:
Y: 0.0026 0.0000 0.0834  4 O 2.25-2.27
Y: 0.4957 0.0015 0.9159  4 O 2.25-2.28
Y: 0.5043 0.5015 0.0841  4 O 2.25-2.28
Y: 0.9974 0.5000 0.9166  4 O 2.25-2.27
Hg: 0.1307 0.2717 0.4964  2 Hg 3.18, 2 S 3.34-3.37
Hg: 0.4980 0.0168 0.2663  2 S 2.36
Hg: 0.5020 0.5168 0.7337  2 S 2.36
Hg: 0.8693 0.7717 0.5036  2 Hg 3.18, 2 S 3.34-3.37
S: 0.2042 0.3114 0.2401  1 Hg 2.36
S: 0.2112 0.2220 0.7560  1 Hg 2.36
S: 0.7888 0.7220 0.2440  1 Hg 2.36
S: 0.7958 0.8114 0.7599  1 Hg 2.36
O: 0.2498 0.7497 0.0000  4 Y 2.25-2.28
O: 0.2527 0.2482 0.9998  4 Y 2.25-2.27
O: 0.7473 0.7482 0.0002  4 Y 2.25-2.27
O: 0.7502 0.2497 0.0000  4 Y 2.25-2.28

=====

Compound: Ir2O5
Source: the Open Quantum Materials Database
Functional: PBE
Structure: optimized geometry

Lattice parameters (Å, degrees): 4.7053 4.7519 4.7527 71.47 69.77 84.10
Closest atoms and distances in Å follow each position.
Fractional positions:
Ir: 0.0000 0.0000 0.0000  5 O 1.87-1.99
Ir: 0.0014 0.3609 0.3466  5 O 1.88-1.98
O: 0.2278 0.3128 0.6224  2 Ir 1.91-1.97
O: 0.2343 0.0297 0.2471  2 Ir 1.91
O: 0.2468 0.6568 0.9624  2 Ir 1.92-1.97
O: 0.7213 0.6698 0.3039  2 Ir 1.88-1.99
O: 0.7398 0.1156 0.7629  2 Ir 1.87-1.98

=====

Q: Which uncorrected energy values were calculated for the entries above? A: -5.7921, -6.3386, in eV/atom.